# 1
Compound: Zn2IrAu
Source: Alexandria
Functional: meta-GGA SCAN
Structure: single point on PBEsol structure

Results
Energy of formation (eV per atom): -0.235

Unit cell a=4.0346 b=4.0346 c=3.4881 alpha=90.00 beta=90.00 gamma=90.00
Space group P4/mmm (No. 123)
Unique sites:
Zn: 0.0000 0.5000 0.0000
Ir: 0.0000 0.0000 0.5000
Au: 0.5000 0.5000 0.5000



# 2
Compound: Zn2IrAu
Source: Alexandria
Functional: meta-GGA SCAN
Structure: single point on PBEsol structure

Results
Energy of formation (eV per atom): 0.063

Unit cell a=2.7852 b=4.7465 c=8.9688 alpha=90.00 beta=90.00 gamma=90.00
Space group Cmm2 (No. 35)
Unique sites:
Zn: 0.0000 0.0000 0.0000
Zn: 0.0000 0.5000 0.2412
Ir: 0.0000 0.0000 0.4764
Au: 0.0000 0.5000 0.7486



# 3
Compound: Zn2IrAu
Source: Alexandria
Functional: meta-GGA SCAN
Structure: single point on PBEsol structure

Results
Energy of formation (eV per atom): -0.146

Unit cell a=9.4542 b=2.9198 c=4.4278 alpha=90.00 beta=109.31 gamma=90.00
Space group Cm (No. 8)
Unique sites:
Zn: 0.0000 0.0000 0.0000
Zn: 0.2491 0.0000 0.6217
Ir: 0.2409 0.5000 0.1090
Au: 0.0008 0.5000 0.4987



# 4
Compound: Zn2IrAu
Source: Alexandria
Functional: meta-GGA SCAN
Structure: single point on PBEsol structure

Results
Energy of formation (eV per atom): -0.147

Unit cell a=2.8127 b=2.8127 c=25.6038 alpha=90.00 beta=90.00 gamma=120.00
Space group R-3m (No. 166, hexagonal axes)
Unique sites:
Zn: 0.0000 0.0000 0.2466
Ir: 0.0000 0.0000 0.5000
Au: 0.0000 0.0000 0.0000



What density of states at the Fermi level values result from the calculations? In sequence: 1.09 4.14 3.21 4.17 states/eV/cell.
What E_tot values result from the calculations? In sequence: -168.23 -334.07 -335.74 -503.63 eV for the cell shown.